# 1
# TiH2SeF, optimized geometry, DFT PBE
# - uncorrected energy (eV per atom) = -4.13
# - D(E_F) (states/eV/f.u.) = 3.16
data_TiH2SeF
_cell_length_a 3.7606
_cell_length_b 3.7606
_cell_length_c 4.0322
_cell_angle_alpha 90.00
_cell_angle_beta 90.00
_cell_angle_gamma 90.00
_space_group_name_H-M_alt 'P 4/m m m'
_space_group_IT_number 123
_space_group_name_Hall '-P 4 2'
loop_
_atom_site_label
_atom_site_fract_x
_atom_site_fract_y
_atom_site_fract_z
Ti1 0.0000 0.0000 0.0000
H1 0.0000 0.5000 0.5000
Se1 0.5000 0.5000 0.0000
F1 0.0000 0.0000 0.5000

# 2
# Be3Te, optimized geometry, DFT PBE
# - formation energy from raw total energies (eV per atom) = 0.854
# - uncorrected energy (eV per atom) = -2.73
# - D(E_F) (states/eV/f.u.) = 1.98
# - relative energy among the computed polymorphs (meV per atom) = 648
data_Be3Te
_cell_length_a 7.6150
_cell_length_b 7.6150
_cell_length_c 3.5948
_cell_angle_alpha 90.00
_cell_angle_beta 90.00
_cell_angle_gamma 120.00
_space_group_name_H-M_alt 'R -3 m'
_space_group_IT_number 166
_space_group_name_Hall '-R 3 2"'
loop_
_atom_site_label
_atom_site_fract_x
_atom_site_fract_y
_atom_site_fract_z
Be1 0.0000 0.5000 0.0000
Te1 0.0000 0.0000 0.0000